# SiPbN2, optimized geometry, DFT PBE-GGA
# Raw formation energy: -0.399 eV per atom
# Distance to the lowest polymorph of the same formula: 0.0 meV/atom
# Crystal system: orthorhombic
# Final energy: -6.84 eV/atom
data_SiPbN2
_cell_length_a 5.675
_cell_length_b 7.564
_cell_length_c 5.161
_cell_angle_alpha 90.00
_cell_angle_beta 90.00
_cell_angle_gamma 90.00
_space_group_name_H-M_alt 'P n a 21'
_space_group_IT_number 33
loop_
_space_group_symop_operation_xyz
'x,y,z'
'-x,-y,z+1/2'
'-x+1/2,y+1/2,z+1/2'
'x+1/2,-y+1/2,z'
loop_
_atom_site_label
_atom_site_type_symbol
_atom_site_fract_x
_atom_site_fract_y
_atom_site_fract_z
Si1 Si 0.015 0.127 0.000
Pb1 Pb 0.078 0.626 0.015
N1 N 0.006 0.078 0.333
N2 N 0.230 0.742 0.411



# YSi2PbN, optimized geometry, DFT PBE-GGA
# Raw formation energy: 1.867 eV per atom
# Crystal system: tetragonal
# Final energy: -4.00 eV/atom
data_YSi2PbN
_cell_length_a 5.377
_cell_length_b 5.377
_cell_length_c 6.035
_cell_angle_alpha 90.00
_cell_angle_beta 90.00
_cell_angle_gamma 90.00
_space_group_name_H-M_alt 'P 4/m m m'
_space_group_IT_number 123
_space_group_name_Hall '-P 4 2'
loop_
_atom_site_label
_atom_site_type_symbol
_atom_site_fract_x
_atom_site_fract_y
_atom_site_fract_z
Y1 Y 0.000 0.000 0.000
Si1 Si 0.000 0.500 0.000
Pb1 Pb 0.000 0.000 0.500
N1 N 0.500 0.500 0.500



# Sm6Pb2N, optimized geometry, DFT PBE-GGA
# Raw formation energy: -0.172 eV per atom
# Distance to the lowest polymorph of the same formula: 416.5 meV/atom
# Crystal system: orthorhombic
# Final energy: -5.07 eV/atom
data_Sm6Pb2N
_cell_length_a 5.684
_cell_length_b 7.040
_cell_length_c 13.901
_cell_angle_alpha 90.00
_cell_angle_beta 90.00
_cell_angle_gamma 90.00
_space_group_name_H-M_alt 'I m m m'
_space_group_IT_number 71
_space_group_name_Hall '-I 2 2'
loop_
_atom_site_label
_atom_site_type_symbol
_atom_site_fract_x
_atom_site_fract_y
_atom_site_fract_z
Sm1 Sm 0.000 0.247 0.124
Sm2 Sm 0.000 0.252 0.500
Pb1 Pb 0.000 0.000 0.313
N1 N 0.000 0.000 0.000



# Sm7Pb4N, optimized geometry, DFT PBE-GGA
# Raw formation energy: -0.465 eV per atom
# Crystal system: monoclinic
# Final energy: -5.15 eV/atom
data_Sm7Pb4N
_cell_length_a 16.713
_cell_length_b 5.152
_cell_length_c 11.359
_cell_angle_alpha 90.00
_cell_angle_beta 127.82
_cell_angle_gamma 90.00
_space_group_name_H-M_alt 'C 1 2/m 1'
_space_group_IT_number 12
loop_
_space_group_symop_operation_xyz
'x,y,z'
'-x,-y,-z'
'-x,y,-z'
'x,-y,z'
'x+1/2,y+1/2,z'
'-x+1/2,-y+1/2,-z'
'-x+1/2,y+1/2,-z'
'x+1/2,-y+1/2,z'
loop_
_atom_site_label
_atom_site_type_symbol
_atom_site_fract_x
_atom_site_fract_y
_atom_site_fract_z
Sm1 Sm 0.000 0.000 0.000
Sm2 Sm 0.063 0.500 0.239
Sm3 Sm 0.137 0.000 0.542
Sm4 Sm 0.217 0.500 0.861
Pb1 Pb 0.081 0.000 0.783
Pb2 Pb 0.221 0.000 0.345
N1 N 0.000 0.500 0.000



# Sm5Pb3N, optimized geometry, DFT PBE-GGA
# Raw formation energy: -0.787 eV per atom
# Crystal system: hexagonal
# Final energy: -5.57 eV/atom
data_Sm5Pb3N
_cell_length_a 9.2651
_cell_length_b 9.2651
_cell_length_c 6.6082
_cell_angle_alpha 90.00
_cell_angle_beta 90.00
_cell_angle_gamma 120.00
_space_group_name_H-M_alt 'P 63/m c m'
_space_group_IT_number 193
_space_group_name_Hall '-P 6c 2'
loop_
_atom_site_label
_atom_site_type_symbol
_atom_site_fract_x
_atom_site_fract_y
_atom_site_fract_z
Sm1 Sm 0.0000 0.2122 0.2500
Sm2 Sm 0.3333 0.6667 0.0000
Pb1 Pb 0.0000 0.4017 0.7500
N1 N 0.0000 0.0000 0.0000



# Sm6Pb2N, optimized geometry, DFT PBE-GGA
# Raw formation energy: -0.589 eV per atom
# Distance to the lowest polymorph of the same formula: 0.0 meV/atom
# Crystal system: cubic
# Final energy: -5.48 eV/atom
data_Sm6Pb2N
_cell_length_a 10.000
_cell_length_b 10.000
_cell_length_c 10.000
_cell_angle_alpha 90.00
_cell_angle_beta 90.00
_cell_angle_gamma 90.00
_space_group_name_H-M_alt 'F m -3 m'
_space_group_IT_number 225
_space_group_name_Hall '-F 4 2 3'
loop_
_atom_site_label
_atom_site_type_symbol
_atom_site_fract_x
_atom_site_fract_y
_atom_site_fract_z
Sm1 Sm 0.000 0.000 0.244
Pb1 Pb 0.250 0.250 0.250
N1 N 0.000 0.000 0.000